## Cs2YSc2 (PBE)

Data for an optimized crystal structure of Cs2YSc2.

The theoretical density is 3.6 g/cm3. As for the formation enthalpy at 0 K: 0.87 eV per atom. As for the density of states at the Fermi level: 6.39 states/eV/f.u. As for the energy relative to the lowest polymorph listed for this composition: 0 meV/atom.

a = 4.7145 Å, b = 4.7145 Å, c = 9.8461 Å
α = 76.15°, β = 76.15°, γ = 90.00°
Last column: nearest neighbours and their distance in Å.
Sites, in units of the cell vectors:
Cs  0.2500  0.7500  0.5000  4 Cs 3.33
Y  0.0000  0.0000  0.0000  8 Sc 3.61
Sc  0.5742  0.5742  0.8516  1 Sc 2.75
Sc  0.4258  0.4258  0.1484  1 Sc 2.75
Cs  0.7500  0.2500  0.5000  4 Cs 3.33



## HfBeOs2N (PBE)

Data for an optimized crystal structure of HfBeOs2N.

The theoretical density is 13.0 g/cm3. As for the calculated total energy: -7.522 eV/atom. As for the density of states at the Fermi level: 4.32 states/eV/f.u.

a = 3.9732 Å, b = 4.6986 Å, c = 3.9732 Å
α = 90.00°, β = 90.00°, γ = 90.00°
Last column: nearest neighbours and their distance in Å.
Sites, in units of the cell vectors:
Be  0.0000  0.0000  0.0000  4 Os 1.99
N  0.5000  0.5000  0.5000  4 Hf 2.81, 8 Os 3.08
Hf  0.0000  0.5000  0.0000  2 Be 2.35
Os  0.5000  0.0000  0.0000  2 Be 1.99
Os  0.0000  0.0000  0.5000  2 Be 1.99



## CsCa4Ag3Cl12 (PBE)

Data for an optimized crystal structure of CsCa4Ag3Cl12.

The theoretical density is 3.1 g/cm3. As for the calculated total energy: -3.738 eV/atom. As for the density of states at the Fermi level: 0.00 states/eV/f.u.

a = 8.9520 Å, b = 8.9520 Å, c = 8.9520 Å
α = 109.47°, β = 109.47°, γ = 109.47°
Last column: nearest neighbours and their distance in Å.
Sites, in units of the cell vectors:
Cl  0.3091  0.1781  0.4872  1 Ag 2.70, 2 Ca 2.76
Ca  0.0000  0.0000  0.5000  6 Cl 2.76
Cl  0.6909  0.1781  0.8689  1 Ag 2.70, 2 Ca 2.76
Ag  0.5000  0.0000  0.5000  4 Cl 2.70
Cl  0.8219  0.1311  0.3091  1 Ag 2.70, 2 Ca 2.76
Ca  0.5000  0.5000  0.5000  6 Cl 2.76
Cl  0.1781  0.8689  0.6909  1 Ag 2.70, 2 Ca 2.76
Cl  0.8219  0.5128  0.6909  1 Ag 2.70, 2 Ca 2.76
Cl  0.1311  0.3091  0.8219  1 Ag 2.70, 2 Ca 2.76
Cl  0.6909  0.8219  0.5128  1 Ag 2.70, 2 Ca 2.76
Cl  0.3091  0.8219  0.1311  1 Ag 2.70, 2 Ca 2.76
Cl  0.8689  0.6909  0.1781  1 Ag 2.70, 2 Ca 2.76
Cs  0.0000  0.0000  0.0000  12 Cl 3.69
Ag  0.0000  0.5000  0.5000  4 Cl 2.70
Cl  0.4872  0.3091  0.1781  1 Ag 2.70, 2 Ca 2.76
Cl  0.5128  0.6909  0.8219  1 Ag 2.70, 2 Ca 2.76
Ca  0.5000  0.0000  0.0000  6 Cl 2.76
Cl  0.1781  0.4872  0.3091  1 Ag 2.70, 2 Ca 2.76
Ca  0.0000  0.5000  0.0000  6 Cl 2.76
Ag  0.5000  0.5000  0.0000  4 Cl 2.70



## DyPaC2 (PBE)

Data for an optimized crystal structure of DyPaC2.

The theoretical density is 10.3 g/cm3. As for the formation enthalpy at 0 K: -0.04 eV per atom. As for the density of states at the Fermi level: 1.83 states/eV/f.u. As for the energy relative to the lowest polymorph listed for this composition: 357 meV/atom.

a = 3.5664 Å, b = 3.5664 Å, c = 6.0863 Å
α = 90.09°, β = 90.00°, γ = 120.00°
Last column: nearest neighbours and their distance in Å.
Sites, in units of the cell vectors:
C  0.6668  0.8335  0.7773  3 Pa 2.46-2.47, 3 Dy 2.66
C  0.3332  0.1665  0.2227  3 Pa 2.46-2.47, 3 Dy 2.66
Dy  0.0000  0.5000  0.5000  6 C 2.66
Pa  0.0000  0.5000  0.0000  6 C 2.46-2.47



## Ho2NpCuSe5 (PBE)

Data for an optimized crystal structure of Ho2NpCuSe5.

The theoretical density is 8.0 g/cm3. As for the calculated total energy: -6.138 eV/atom. As for the density of states at the Fermi level: 8.67 states/eV/f.u.

a = 3.9489 Å, b = 9.3927 Å, c = 11.7014 Å
α = 90.00°, β = 90.00°, γ = 102.13°
Last column: nearest neighbours and their distance in Å.
Sites, in units of the cell vectors:
Se  0.2971  0.5941  0.6869  2 Np 2.87, 2 Ho 2.91
Se  0.3242  0.6485  0.3336  1 Cu 2.44
Se  0.4965  0.9930  0.7814  1 Cu 2.39
Np  0.8030  0.6061  0.5095  6 Se 2.84-2.99, 2 Cu 3.17
Se  0.7029  0.4059  0.1869  2 Np 2.87, 2 Ho 2.91
Cu  0.5670  0.1340  0.9536  4 Se 2.39-2.44
Se  0.9537  0.9074  0.5644  2 Cu 2.39
Ho  0.1154  0.2307  0.3071  7 Se 2.87-3.11
Cu  0.4330  0.8660  0.4536  4 Se 2.39-2.44
Ho  0.0968  0.1936  0.6839  7 Se 2.93-3.01
Se  0.6758  0.3515  0.8336  1 Cu 2.44
Np  0.1970  0.3939  0.0095  6 Se 2.84-2.99, 2 Cu 3.17
Ho  0.9032  0.8064  0.1839  7 Se 2.93-3.01
Se  0.6403  0.2806  0.5037  1 Np 2.99, 4 Ho 3.00-3.07
Se  0.3597  0.7194  0.0037  1 Np 2.99, 4 Ho 3.00-3.07
Se  0.5035  0.0070  0.2814  1 Cu 2.39
Se  0.0463  0.0926  0.0644  2 Cu 2.39
Ho  0.8846  0.7693  0.8071  7 Se 2.87-3.11



## PuPaPtAu (PBE)

Data for an optimized crystal structure of PuPaPtAu.

The theoretical density is 17.8 g/cm3. As for the formation enthalpy at 0 K: -0.69 eV per atom. As for the density of states at the Fermi level: 4.41 states/eV/f.u. As for the energy relative to the lowest polymorph listed for this composition: 0 meV/atom.

a = 4.8508 Å, b = 4.8508 Å, c = 4.8508 Å
α = 60.00°, β = 60.00°, γ = 60.00°
Last column: nearest neighbours and their distance in Å.
Sites, in units of the cell vectors:
Pu  0.5000  0.5000  0.5000  4 Pa 2.97, 4 Au 2.97
Pt  0.0000  0.0000  0.0000  4 Pa 2.97, 4 Au 2.97
Pa  0.7500  0.7500  0.7500  4 Pt 2.97, 4 Pu 2.97
Au  0.2500  0.2500  0.2500  4 Pt 2.97, 4 Pu 2.97



## LiCaY2Rh (PBE)

Data for an optimized crystal structure of LiCaY2Rh.

The theoretical density is 3.4 g/cm3. As for the formation enthalpy at 0 K: -0.20 eV per atom. As for the density of states at the Fermi level: 3.86 states/eV/f.u. As for the energy relative to the lowest polymorph listed for this composition: 0 meV/atom.

a = 5.3659 Å, b = 5.3659 Å, c = 5.6344 Å
α = 90.00°, β = 90.00°, γ = 90.00°
Last column: nearest neighbours and their distance in Å.
Sites, in units of the cell vectors:
Rh  0.0000  0.0000  0.0000  4 Y 2.68, 2 Ca 2.82
Y  0.0000  0.5000  0.0000  2 Rh 2.68
Li  0.5000  0.5000  0.5000  4 Ca 3.79, 8 Y 3.89
Ca  0.0000  0.0000  0.5000  2 Rh 2.82
Y  0.5000  0.0000  0.0000  2 Rh 2.68



## ScPaZnCu (PBE)

Data for an optimized crystal structure of ScPaZnCu.

The theoretical density is 8.4 g/cm3. As for the formation enthalpy at 0 K: 0.01 eV per atom. As for the density of states at the Fermi level: 7.18 states/eV/f.u.

a = 4.8310 Å, b = 4.8310 Å, c = 4.8310 Å
α = 60.00°, β = 60.00°, γ = 60.00°
Last column: nearest neighbours and their distance in Å.
Sites, in units of the cell vectors:
Zn  0.5000  0.5000  0.5000  4 Sc 2.96, 4 Pa 2.96
Pa  0.7500  0.7500  0.7500  4 Cu 2.96, 4 Zn 2.96
Sc  0.2500  0.2500  0.2500  4 Cu 2.96, 4 Zn 2.96
Cu  0.0000  0.0000  0.0000  4 Pa 2.96, 4 Sc 2.96



## CdPbS2 (PBE)

Data for an optimized crystal structure of CdPbS2.

The theoretical density is 6.7 g/cm3. As for the calculated total energy: -3.730 eV/atom. As for the density of states at the Fermi level: 0.00 states/eV/f.u.

a = 7.0280 Å, b = 7.0280 Å, c = 7.0280 Å
α = 33.62°, β = 33.62°, γ = 33.62°
Last column: nearest neighbours and their distance in Å.
Sites, in units of the cell vectors:
S  0.9914  0.9914  0.9914  3 Cd 2.78, 3 Pb 2.97
Cd  0.2500  0.2500  0.2500  6 S 2.78
S  0.5086  0.5086  0.5086  3 Cd 2.78, 3 Pb 2.97
Pb  0.7500  0.7500  0.7500  6 S 2.97



## KHfBO2 (PBE)

Data for an optimized crystal structure of KHfBO2.

The theoretical density is 4.4 g/cm3. As for the calculated total energy: -3.693 eV/atom. As for the density of states at the Fermi level: 5.15 states/eV/f.u.

a = 3.9145 Å, b = 6.3979 Å, c = 3.9145 Å
α = 90.00°, β = 90.00°, γ = 90.00°
Last column: nearest neighbours and their distance in Å.
Sites, in units of the cell vectors:
K  0.0000  0.0000  0.0000  4 O 1.96
Hf  0.0000  0.5000  0.0000  4 B 2.77
O  0.0000  0.0000  0.5000  2 K 1.96
O  0.5000  0.0000  0.0000  2 K 1.96
B  0.5000  0.5000  0.5000  4 Hf 2.77



## GdDyOsPt (PBE)

Data for an optimized crystal structure of GdDyOsPt.

The theoretical density is 14.1 g/cm3. As for the formation enthalpy at 0 K: -0.62 eV per atom. As for the density of states at the Fermi level: 1.74 states/eV/f.u.

a = 4.8930 Å, b = 4.8930 Å, c = 4.8930 Å
α = 60.00°, β = 60.00°, γ = 60.00°
Last column: nearest neighbours and their distance in Å.
Sites, in units of the cell vectors:
Dy  0.5000  0.5000  0.5000  4 Os 3.00, 4 Pt 3.00
Gd  0.0000  0.0000  0.0000  4 Pt 3.00, 4 Os 3.00
Pt  0.7500  0.7500  0.7500  4 Dy 3.00, 4 Gd 3.00
Os  0.2500  0.2500  0.2500  4 Dy 3.00, 4 Gd 3.00



## Tb3Er7Sc2 (PBE)

Data for an optimized crystal structure of Tb3Er7Sc2.

The theoretical density is 7.5 g/cm3. As for the formation enthalpy at 0 K: 0.24 eV per atom. As for the density of states at the Fermi level: 19.18 states/eV/f.u.

a = 3.5517 Å, b = 5.4148 Å, c = 20.0377 Å
α = 90.00°, β = 95.17°, γ = 90.00°
Last column: nearest neighbours and their distance in Å.
Sites, in units of the cell vectors:
Tb  0.1725  0.0000  0.3380  4 Sc 3.47-3.48, 2 Tb 3.55, 6 Er 3.67-3.72
Er  0.9292  0.5000  0.8631  2 Tb 3.26, 2 Sc 3.27-3.28, 6 Er 3.34-3.55
Sc  0.6421  0.5000  0.2748  5 Er 3.08-3.34
Er  0.0708  0.5000  0.1369  2 Tb 3.26, 2 Sc 3.27-3.28, 6 Er 3.34-3.55
Sc  0.3579  0.5000  0.7252  5 Er 3.08-3.34
Tb  0.5000  0.5000  0.0000  8 Er 3.24-3.26, 2 Tb 3.55
Er  0.5910  0.0000  0.1770  6 Er 3.34-3.55, 2 Sc 3.34, 2 Tb 3.67
Er  0.2860  0.5000  0.5709  1 Sc 3.08, 2 Er 3.34
Tb  0.8275  0.0000  0.6620  4 Sc 3.47-3.48, 2 Tb 3.55, 6 Er 3.67-3.72
Er  0.0000  0.0000  0.0000  4 Tb 3.24, 2 Er 3.55
Er  0.7140  0.5000  0.4291  1 Sc 3.08, 2 Er 3.34
Er  0.4090  0.0000  0.8230  6 Er 3.34-3.55, 2 Sc 3.34, 2 Tb 3.67